A plane-wave DFT calculation with PBE with a Hubbard U was carried out for crystalline Cd5FeO6 at its relaxed geometry. Values from VASP.

Results
E	-52.7	eV/f.u.
D(E_F)	2.6	states/eV per cell
V	13.20	Å³ per atom

```
&SYSTEM
  ibrav = 0, nat = 12, ntyp = 3
/
ATOMIC_SPECIES
Cd 112.41 Cd.upf
Fe 55.84 Fe.upf
O 16.00 O.upf
CELL_PARAMETERS angstrom
2.888 -5.025 0.000
2.888 5.025 0.000
-1.893 0.000 5.456
ATOMIC_POSITIONS angstrom
Cd 0.000 0.000 0.000
Cd 1.942 3.342 2.728
Cd 2.888 1.675 0.000
Cd 2.888 -1.675 0.000
Cd 1.942 -3.342 2.728
Fe 1.942 0.000 2.728
O 0.985 1.613 1.376
O 0.198 0.000 3.964
O 0.985 -1.613 1.376
O 2.899 1.613 4.080
O 3.686 0.000 1.492
O 2.899 -1.613 4.080
```